Arrangement P

DFT (GGA-PBE) results for a geometry-optimized TcRuBr2 structure.

Cell and atoms, written as POSCAR:
```
TcRuBr2
1.0
5.6226 0.0000 0.0000
0.0000 5.6226 0.0000
0.0000 0.0000 11.3776
Tc Ru Br
4 4 8
Direct
0.0000 0.0000 0.0000
0.0000 0.5000 0.2500
0.5000 0.0000 0.7500
0.5000 0.5000 0.5000
0.0000 0.0000 0.5000
0.0000 0.5000 0.7500
0.5000 0.0000 0.2500
0.5000 0.5000 0.0000
0.2484 0.2500 0.1250
0.2500 0.7484 0.3750
0.2500 0.7516 0.8750
0.2516 0.2500 0.6250
0.7484 0.7500 0.6250
0.7500 0.2484 0.8750
0.7500 0.2516 0.3750
0.7516 0.7500 0.1250
```

***

Arrangement Q

DFT (GGA-PBE) results for a geometry-optimized TcRuBr2 structure.

Cell and atoms, written as POSCAR:
```
TcRuBr2
1.0
14.1147 0.0000 0.0000
0.0000 3.0633 0.0000
-0.5483 0.0000 4.4996
Tc Ru Br
2 2 4
Direct
0.0000 0.0000 0.0000
0.5000 0.5000 0.0000
0.0000 0.5000 0.5000
0.5000 0.0000 0.5000
0.1386 0.5000 0.2074
0.3614 0.0000 0.7926
0.6386 0.0000 0.2074
0.8614 0.5000 0.7926
```

***

Stability check: which of them is least stable? arrangement P.